First-principles (PBE with a Hubbard U) data for a relaxed VCoO2 crystal, as listed in Alexandria.

Calculated values
Relative energy among the computed polymorphs: 2.70 eV/f.u.
N(E_F): 4.704 states/eV/f.u.
Magnetic moment: 1.286 μB per atom

a = 3.7810 Å, b = 3.7810 Å, c = 3.7810 Å
α = 60.00°, β = 60.00°, γ = 60.00°
Closest atoms and distances in Å follow each position.
Fractional positions:
O 0.7500 0.7500 0.7500  4 V 2.32, 4 Co 2.32
V 0.0000 0.0000 0.0000  8 O 2.32
O 0.2500 0.2500 0.2500  4 Co 2.32, 4 V 2.32
Co 0.5000 0.5000 0.5000  8 O 2.32